1.
DFT (PBE) results for a relaxed ScAlPtRh2 crystal.

Results
The offset from the most stable computed form comes out at 585 meV per atom. The uncorrected energy is -5.859 eV/atom. As for the density of states at the Fermi level: 3.01 states/eV/f.u. The calculation puts the formation energy at 0.30 eV per atom.

```
data_ScAlPtRh2
_cell_length_a 4.3578
_cell_length_b 4.3578
_cell_length_c 4.9019
_cell_angle_alpha 90.00
_cell_angle_beta 90.00
_cell_angle_gamma 90.00
_symmetry_space_group_name_H-M 'P 4/m m m'
_symmetry_Int_Tables_number 123
_symmetry_space_group_name_Hall '-P 4 2'
loop_
_atom_site_label
_atom_site_type_symbol
_atom_site_fract_x
_atom_site_fract_y
_atom_site_fract_z
_atom_site_occupancy
Sc1 Sc 0.0000 0.0000 0.0000 1
Al1 Al 0.0000 0.0000 0.5000 1
Pt1 Pt 0.5000 0.5000 0.0000 1
Rh1 Rh 0.0000 0.5000 0.5000 1
```



2.
DFT (PBE) results for a relaxed Al2SiPtRh crystal.

Results
The uncorrected energy is -5.240 eV/atom. The uncorrected formation energy is 0.02 eV per atom. As for the density of states at the Fermi level: 1.80 states/eV/f.u.

```
data_Al2SiPtRh
_cell_length_a 4.6294
_cell_length_b 4.6294
_cell_length_c 4.4340
_cell_angle_alpha 90.00
_cell_angle_beta 90.00
_cell_angle_gamma 90.00
_symmetry_space_group_name_H-M 'P 4/m m m'
_symmetry_Int_Tables_number 123
_symmetry_space_group_name_Hall '-P 4 2'
loop_
_atom_site_label
_atom_site_type_symbol
_atom_site_fract_x
_atom_site_fract_y
_atom_site_fract_z
_atom_site_occupancy
Al1 Al 0.0000 0.5000 0.0000 1
Si1 Si 0.0000 0.0000 0.5000 1
Pt1 Pt 0.5000 0.5000 0.5000 1
Rh1 Rh 0.0000 0.0000 0.0000 1
```



3.
DFT (PBE) results for a relaxed SmAl4Pt2Rh crystal.

Results
The uncorrected energy is -5.834 eV/atom. As for the density of states at the Fermi level: 4.24 states/eV/f.u. The calculation puts the formation energy at -0.94 eV per atom.

```
data_SmAl4Pt2Rh
_cell_length_a 4.2589
_cell_length_b 4.2589
_cell_length_c 26.5810
_cell_angle_alpha 90.00
_cell_angle_beta 90.00
_cell_angle_gamma 120.00
_symmetry_space_group_name_H-M 'R -3 m'
_symmetry_Int_Tables_number 166
_symmetry_space_group_name_Hall '-R 3 2"'
loop_
_atom_site_label
_atom_site_type_symbol
_atom_site_fract_x
_atom_site_fract_y
_atom_site_fract_z
_atom_site_occupancy
Sm1 Sm 0.0000 0.0000 0.0000 1
Al1 Al 0.0000 0.0000 0.1334 1
Al2 Al 0.0000 0.0000 0.4037 1
Pt1 Pt 0.0000 0.0000 0.2337 1
Rh1 Rh 0.0000 0.0000 0.5000 1
```



4.
DFT (PBE) results for a relaxed Sr2Al4Pt3Rh crystal.

Results
The uncorrected energy is -5.353 eV/atom. As for the density of states at the Fermi level: 3.64 states/eV/f.u. The calculation puts the formation energy at -0.97 eV per atom.

```
data_Sr2Al4Pt3Rh
_cell_length_a 4.3510
_cell_length_b 4.3510
_cell_length_c 10.4214
_cell_angle_alpha 90.00
_cell_angle_beta 90.00
_cell_angle_gamma 90.00
_symmetry_space_group_name_H-M 'P -4 m 2'
_symmetry_Int_Tables_number 115
_symmetry_space_group_name_Hall 'P -4 -2'
loop_
_atom_site_label
_atom_site_type_symbol
_atom_site_fract_x
_atom_site_fract_y
_atom_site_fract_z
_atom_site_occupancy
Sr1 Sr 0.0000 0.5000 0.2441 1
Al1 Al 0.0000 0.0000 0.5000 1
Al2 Al 0.0000 0.5000 0.8788 1
Al3 Al 0.5000 0.5000 0.5000 1
Pt1 Pt 0.0000 0.0000 0.0000 1
Pt2 Pt 0.0000 0.5000 0.6309 1
Rh1 Rh 0.5000 0.5000 0.0000 1
```



5.
DFT (PBE) results for a relaxed TbAl4PtRh2 crystal.

Results
The uncorrected energy is -5.902 eV/atom. As for the density of states at the Fermi level: 3.60 states/eV/f.u. The calculation puts the formation energy at -0.86 eV per atom.

```
data_TbAl4PtRh2
_cell_length_a 4.2339
_cell_length_b 4.2339
_cell_length_c 26.2086
_cell_angle_alpha 90.00
_cell_angle_beta 90.00
_cell_angle_gamma 120.00
_symmetry_space_group_name_H-M 'R -3 m'
_symmetry_Int_Tables_number 166
_symmetry_space_group_name_Hall '-R 3 2"'
loop_
_atom_site_label
_atom_site_type_symbol
_atom_site_fract_x
_atom_site_fract_y
_atom_site_fract_z
_atom_site_occupancy
Tb1 Tb 0.0000 0.0000 0.0000 1
Al1 Al 0.0000 0.0000 0.1302 1
Al2 Al 0.0000 0.0000 0.4022 1
Pt1 Pt 0.0000 0.0000 0.5000 1
Rh1 Rh 0.0000 0.0000 0.2328 1
```



6.
DFT (PBE) results for a relaxed Tb2Al4Pt3Rh crystal.

Results
The uncorrected energy is -6.074 eV/atom. As for the density of states at the Fermi level: 7.25 states/eV/f.u. The calculation puts the formation energy at -1.10 eV per atom.

```
data_Tb2Al4Pt3Rh
_cell_length_a 4.2134
_cell_length_b 4.2134
_cell_length_c 10.3761
_cell_angle_alpha 90.00
_cell_angle_beta 90.00
_cell_angle_gamma 90.00
_symmetry_space_group_name_H-M 'P -4 m 2'
_symmetry_Int_Tables_number 115
_symmetry_space_group_name_Hall 'P -4 -2'
loop_
_atom_site_label
_atom_site_type_symbol
_atom_site_fract_x
_atom_site_fract_y
_atom_site_fract_z
_atom_site_occupancy
Tb1 Tb 0.0000 0.5000 0.2456 1
Al1 Al 0.0000 0.0000 0.5000 1
Al2 Al 0.0000 0.5000 0.8737 1
Al3 Al 0.5000 0.5000 0.5000 1
Pt1 Pt 0.0000 0.0000 0.0000 1
Pt2 Pt 0.0000 0.5000 0.6362 1
Rh1 Rh 0.5000 0.5000 0.0000 1
```



7.
DFT (PBE) results for a relaxed Ti2Al5Pt2Rh crystal.

Results
The uncorrected energy is -6.107 eV/atom. As for the density of states at the Fermi level: 6.68 states/eV/f.u. The calculation puts the formation energy at -0.71 eV per atom.

```
data_Ti2Al5Pt2Rh
_cell_length_a 9.0131
_cell_length_b 9.0131
_cell_length_c 3.9172
_cell_angle_alpha 90.00
_cell_angle_beta 90.00
_cell_angle_gamma 90.00
_symmetry_space_group_name_H-M 'P 4/m b m'
_symmetry_Int_Tables_number 127
_symmetry_space_group_name_Hall '-P 4 2ab'
loop_
_atom_site_label
_atom_site_type_symbol
_atom_site_fract_x
_atom_site_fract_y
_atom_site_fract_z
_atom_site_occupancy
Ti1 Ti 0.1764 0.3236 0.0000 1
Al1 Al 0.0000 0.5000 0.5000 1
Al2 Al 0.0631 0.8020 0.5000 1
Pt1 Pt 0.1230 0.6230 0.0000 1
Rh1 Rh 0.0000 0.0000 0.0000 1
```



8.
DFT (PBE) results for a relaxed TiAlPtRh crystal.

Results
The uncorrected energy is -7.257 eV/atom. As for the density of states at the Fermi level: 1.62 states/eV/f.u. The calculation puts the formation energy at -1.00 eV per atom.

```
data_TiAlPtRh
_cell_length_a 4.0489
_cell_length_b 4.0489
_cell_length_c 7.1939
_cell_angle_alpha 90.00
_cell_angle_beta 90.00
_cell_angle_gamma 90.00
_symmetry_space_group_name_H-M 'I -4 m 2'
_symmetry_Int_Tables_number 119
_symmetry_space_group_name_Hall 'I -4 -2'
loop_
_atom_site_label
_atom_site_type_symbol
_atom_site_fract_x
_atom_site_fract_y
_atom_site_fract_z
_atom_site_occupancy
Ti1 Ti 0.0000 0.0000 0.0000 1
Al1 Al 0.0000 0.0000 0.5000 1
Pt1 Pt 0.0000 0.5000 0.2500 1
Rh1 Rh 0.0000 0.5000 0.7500 1
```